No. 1
This record from the Alexandria database describes crystalline Pr2ThNpN4 at its relaxed geometry. The functional is PBE-GGA.

a b c (Å): 3.6117 6.2596 6.2725
angles (deg): 109.15 90.00 90.00
Closest atoms and distances in Å follow each position.
Fractional positions:
Pr 0.5000 0.0000 0.5000  6 N 2.61-2.62
Pr 0.0000 0.5000 0.5000  6 N 2.71-2.73
Th 0.5000 0.5000 0.0000  6 N 2.51
Np 0.0000 0.0000 0.0000  6 N 2.38-2.42
N 0.5000 0.2262 0.2169  2 Np 2.42, 1 Th 2.51, 1 Pr 2.61
N 0.5000 0.7738 0.7831  2 Np 2.42, 1 Th 2.51, 1 Pr 2.61
N 0.0000 0.2438 0.7775  1 Np 2.38, 2 Th 2.51, 2 Pr 2.62
N 0.0000 0.7562 0.2225  1 Np 2.38, 2 Th 2.51, 2 Pr 2.62

## Properties
formation energy without anion corrections: -10.73 eV/f.u.
total energy: -9.24 eV/atom
SG: No. 10
volume: 16.745 A^3/atom

***

No. 2
This record from the Alexandria database describes crystalline CePr3In at its relaxed geometry. The functional is PBE-GGA.

a b c (Å): 6.0633 9.7832 8.2766
angles (deg): 53.77 63.53 90.00
Closest atoms and distances in Å follow each position.
Fractional positions:
Ce 0.4512 0.0467 0.6480  1 Ce 2.79
Ce 0.9207 0.9721 0.7973  1 Ce 2.79
Pr 0.0012 0.1606 0.0617  2 In 3.33-3.43, 4 Pr 3.46-3.68
Pr 0.6859 0.3218 0.7226  2 In 3.29, 5 Pr 3.46-3.68, 2 Ce 3.52
Pr 0.6859 0.6970 0.7226  2 In 3.29, 5 Pr 3.46-3.68, 2 Ce 3.52
Pr 0.3707 0.4997 0.3836  2 In 3.33-3.43, 4 Pr 3.46-3.68
Pr 0.0012 0.5192 0.0616  2 In 3.33-3.43, 4 Pr 3.46-3.68
Pr 0.3707 0.8582 0.3836  2 In 3.33-3.43, 4 Pr 3.46-3.68
In 0.9968 0.7549 0.2316  2 Ce 3.18-3.30, 6 Pr 3.29-3.43
In 0.3751 0.2639 0.2137  2 Ce 3.18-3.30, 6 Pr 3.29-3.43

## Properties
formation enthalpy at 0 K: -0.05 eV per atom
total energy: -4.66 eV/atom
SG: No. 12
volume: 33.011 A^3/atom

***

No. 3
This record from the Alexandria database describes crystalline Cs2PPtBr6 at its relaxed geometry. The functional is PBE-GGA.

a b c (Å): 7.5804 7.5804 7.5583
angles (deg): 59.90 59.90 90.00
Closest atoms and distances in Å follow each position.
Fractional positions:
Cs 0.7500 0.2500 0.5000  12 Br 3.78-3.79
Cs 0.2500 0.7500 0.5000  12 Br 3.78-3.79
P 0.5000 0.5000 0.0000  6 Br 2.67-2.69
Br 0.2493 0.2493 0.5014  1 Pt 2.66, 1 P 2.67
Br 0.7507 0.7507 0.4986  1 Pt 2.66, 1 P 2.67
Br 0.2493 0.2493 0.0000  1 Pt 2.67, 1 P 2.69
Br 0.7507 0.7507 0.0000  1 Pt 2.67, 1 P 2.69
Br 0.7507 0.2493 0.0000  1 Pt 2.67, 1 P 2.69
Br 0.2493 0.7507 0.0000  1 Pt 2.67, 1 P 2.69
Pt 0.0000 0.0000 0.0000  6 Br 2.66-2.67

## Properties
formation energy without anion corrections: -7.66 eV/f.u.
total energy: -3.09 eV/atom
SG: No. 139
volume: 30.621 A^3/atom

***

No. 4
This record from the Alexandria database describes crystalline CaScPb at its relaxed geometry. The functional is PBE-GGA.

a b c (Å): 5.1974 5.1974 3.6989
angles (deg): 90.00 90.00 120.00
Closest atoms and distances in Å follow each position.
Fractional positions:
Pb 0.6667 0.3333 0.5001  3 Sc 3.00
Sc 0.3333 0.6667 0.4999  3 Pb 3.00
Ca 0.0000 0.0000 0.0001  6 Sc 3.52-3.53, 6 Pb 3.52, 2 Ca 3.70

## Properties
formation enthalpy at 0 K: -0.23 eV per atom
total energy: -4.24 eV/atom
SG: No. 187
volume: 28.844 A^3/atom

***

No. 5
This record from the Alexandria database describes crystalline YMg2Si2 at its relaxed geometry. The functional is PBE-GGA.

a b c (Å): 7.9511 7.9511 3.2448
angles (deg): 90.00 90.00 90.00
Closest atoms and distances in Å follow each position.
Fractional positions:
Y 0.0000 0.0000 0.0000  4 Si 2.99, 2 Y 3.24
Y 0.5000 0.5000 0.0000  4 Si 2.99, 2 Y 3.24
Si 0.3403 0.8403 0.0000  6 Mg 2.80-2.87, 2 Y 2.99
Si 0.8403 0.6597 0.0000  6 Mg 2.80-2.87, 2 Y 2.99
Si 0.6597 0.1597 0.0000  6 Mg 2.80-2.87, 2 Y 2.99
Si 0.1597 0.3403 0.0000  6 Mg 2.80-2.87, 2 Y 2.99
Mg 0.1375 0.6375 0.5000  6 Si 2.80-2.87, 1 Mg 3.09
Mg 0.6375 0.8625 0.5000  6 Si 2.80-2.87, 1 Mg 3.09
Mg 0.8625 0.3625 0.5000  6 Si 2.80-2.87, 1 Mg 3.09
Mg 0.3625 0.1375 0.5000  6 Si 2.80-2.87, 1 Mg 3.09

## Properties
offset from the most stable computed form: 219 meV/atom
formation energy without anion corrections: -0.76 eV/f.u.
total energy: -4.25 eV/atom
SG: No. 127
volume: 20.513 A^3/atom

***

No. 6
This record from the Alexandria database describes crystalline ScTlCl2 at its relaxed geometry. The functional is PBE-GGA.

a b c (Å): 4.9841 3.6434 6.5628
angles (deg): 74.39 90.00 90.00
Closest atoms and distances in Å follow each position.
Fractional positions:
Sc 0.0000 0.3718 0.3811  4 Cl 2.51-2.53
Tl 0.5000 0.7171 0.7008  2 Cl 3.07
Cl 0.0000 0.0042 0.1080  2 Sc 2.51
Cl 0.5000 0.4068 0.3102  2 Sc 2.53

## Properties
offset from the most stable computed form: 251 meV/atom
formation energy without anion corrections: -4.24 eV/f.u.
total energy: -4.16 eV/atom
SG: No. 6
volume: 28.695 A^3/atom

***

No. 7
This record from the Alexandria database describes crystalline Be3ReAs at its relaxed geometry. The functional is PBE-GGA.

a b c (Å): 4.2676 4.2676 4.2676
angles (deg): 90.00 90.00 90.00
Closest atoms and distances in Å follow each position.
Fractional positions:
Re 0.0000 0.0000 0.0000  6 Be 2.13
As 0.5000 0.5000 0.5000  12 Be 3.02
Be 0.0000 0.5000 0.0000  2 Re 2.13
Be 0.0000 0.0000 0.5000  2 Re 2.13
Be 0.5000 0.0000 0.0000  2 Re 2.13

## Properties
offset from the most stable computed form: 0 meV/atom
formation enthalpy at 0 K: 1.13 eV per atom
total energy: -4.53 eV/atom
SG: No. 221
volume: 15.545 A^3/atom

***

No. 8
This record from the Alexandria database describes crystalline TlHgI2N at its relaxed geometry. The functional is PBE-GGA.

a b c (Å): 6.3322 6.3322 4.2762
angles (deg): 90.00 90.00 90.00
Closest atoms and distances in Å follow each position.
Fractional positions:
I 0.0000 0.5000 0.0000  2 Hg 3.17
I 0.5000 0.0000 0.0000  2 Hg 3.17
Tl 0.5000 0.5000 0.5000  8 I 3.82, 2 Tl 4.28
Hg 0.0000 0.0000 0.0000  2 N 2.14
N 0.0000 0.0000 0.5000  2 Hg 2.14

## Properties
offset from the most stable computed form: 0 meV/atom
formation energy without anion corrections: 2.53 eV/f.u.
total energy: -2.31 eV/atom
SG: No. 123
volume: 34.292 A^3/atom

***

No. 9
This record from the Alexandria database describes crystalline Sm4InSnN at its relaxed geometry. The functional is PBE-GGA.

a b c (Å): 6.8519 6.8530 8.8779
angles (deg): 90.00 112.70 90.00
Closest atoms and distances in Å follow each position.
Fractional positions:
Sm 0.9118 0.2500 0.8237  1 N 2.65
Sm 0.4124 0.7500 0.8248  1 N 2.66
Sm 0.0882 0.7500 0.1763  1 N 2.65
Sm 0.5876 0.2500 0.1752  1 N 2.66
Sm 0.5000 0.5000 0.5000  2 N 2.42
Sm 0.0000 0.0000 0.5000  2 N 2.42
Sm 0.5000 0.0000 0.5000  2 N 2.42
Sm 0.0000 0.5000 0.5000  2 N 2.42
In 0.6109 0.7500 0.2217  9 Sm 3.25-3.45
In 0.3891 0.2500 0.7783  9 Sm 3.25-3.45
Sn 0.1094 0.2500 0.2188  9 Sm 3.24-3.44
Sn 0.8906 0.7500 0.7812  9 Sm 3.24-3.44
N 0.2500 0.7500 0.5001  6 Sm 2.42-2.66
N 0.7500 0.2500 0.4999  6 Sm 2.42-2.66

## Properties
formation energy without anion corrections: -5.66 eV/f.u.
total energy: -5.66 eV/atom
SG: No. 63
volume: 27.470 A^3/atom

***

No. 10
This record from the Alexandria database describes crystalline Sr2CdPt2 at its relaxed geometry. The functional is PBE-GGA.

a b c (Å): 3.9057 3.9057 9.5759
angles (deg): 78.23 78.23 90.00
Closest atoms and distances in Å follow each position.
Fractional positions:
Sr 0.3784 0.3784 0.2431  4 Pt 3.06
Sr 0.6216 0.6216 0.7569  4 Pt 3.06
Pt 0.7500 0.2500 0.5000  4 Pt 2.76, 4 Sr 3.06
Pt 0.2500 0.7500 0.5000  4 Pt 2.76, 4 Sr 3.06
Cd 0.0000 0.0000 0.0000  8 Sr 3.55, 4 Cd 3.91

## Properties
formation enthalpy at 0 K: -0.42 eV per atom
total energy: -3.69 eV/atom
SG: No. 139
volume: 27.973 A^3/atom

***

No. 11
This record from the Alexandria database describes crystalline YEr7Cd2 at its relaxed geometry. The functional is PBE-GGA.

a b c (Å): 5.2061 8.9922 8.9922
angles (deg): 120.73 90.00 90.00
Closest atoms and distances in Å follow each position.
Fractional positions:
Y 0.0000 0.0000 0.0000  10 Er 3.50-3.57
Er 0.0000 0.7759 0.2241  2 Cd 2.89
Er 0.0000 0.2241 0.7759  2 Cd 2.89
Er 0.5000 0.0645 0.2992  2 Cd 3.08-3.34, 2 Er 3.23-3.37
Er 0.5000 0.9355 0.7008  2 Cd 3.08-3.34, 2 Er 3.23-3.37
Er 0.5000 0.2992 0.0645  2 Cd 3.08-3.34, 2 Er 3.23-3.37
Er 0.5000 0.7008 0.9355  2 Cd 3.08-3.34, 2 Er 3.23-3.37
Er 0.5000 0.5000 0.5000  2 Cd 3.06, 4 Er 3.37
Cd 0.5000 0.6957 0.3043  5 Er 2.89-3.08
Cd 0.5000 0.3043 0.6957  5 Er 2.89-3.08

## Properties
formation enthalpy at 0 K: 0.42 eV per atom
total energy: -3.61 eV/atom
SG: No. 65
volume: 36.184 A^3/atom

***

No. 12
This record from the Alexandria database describes crystalline Pr2BiPt9 at its relaxed geometry. The functional is PBE-GGA.

a b c (Å): 5.4896 5.4896 9.4943
angles (deg): 73.20 73.20 60.00
Closest atoms and distances in Å follow each position.
Fractional positions:
Pr 0.8642 0.8642 0.4074  12 Pt 3.06-3.39
Pr 0.1358 0.1358 0.5926  12 Pt 3.06-3.39
Bi 0.0000 0.0000 0.0000  6 Pt 3.17
Pt 0.6677 0.6677 0.9969  6 Pt 2.76-2.83
Pt 0.3323 0.3323 0.0031  6 Pt 2.76-2.83
Pt 0.5000 0.5000 0.5000  6 Pt 2.70
Pt 0.4124 0.4124 0.2568  7 Pt 2.70-2.83
Pt 0.9184 0.4124 0.2568  7 Pt 2.70-2.83
Pt 0.4124 0.9184 0.2568  7 Pt 2.70-2.83
Pt 0.5876 0.5876 0.7432  7 Pt 2.70-2.83
Pt 0.5876 0.0816 0.7432  7 Pt 2.70-2.83
Pt 0.0816 0.5876 0.7432  7 Pt 2.70-2.83

## Properties
formation enthalpy at 0 K: -0.61 eV per atom
total energy: -6.26 eV/atom
SG: No. 166
volume: 19.464 A^3/atom